Entry 1:
DFT (GGA-PBE) results for a relaxed structure of TbErSc.

The value obtained for the formation energy is 0.17 eV/atom.

The space group is Pmmn (No. 59, origin choice 2) and the conventional cell measures 3.361, 3.376 and 15.651 Å, with angles of 90.00, 90.00 and 90.00 degrees. The distinct sites, in fractional coordinates, are Tb at (0.250, 0.250, 0.081), Er at (0.250, 0.750, 0.276) and Sc at (0.250, 0.750, 0.572).

***

Entry 2:
DFT (GGA-PBE) results for a relaxed structure of Sc2SbAs.

Its uncorrected formation energy is -0.304 eV per atom.

The space group is R-3m (No. 166, hexagonal axes) and the conventional cell measures 4.2648, 4.2648 and 24.2253 Å, with angles of 90.00, 90.00 and 120.00 degrees. The distinct sites, in fractional coordinates, are Sc at (0.0000, 0.0000, 0.1032), Sb at (0.0000, 0.0000, 0.5000) and As at (0.0000, 0.0000, 0.0000).

***

Entry 3:
DFT (GGA-PBE) results for a relaxed structure of GdErZnPt.

The value obtained for the formation energy is -0.78 eV/atom.

The space group is F-43m (No. 216) and the conventional cell measures 7.054, 7.054 and 7.054 Å, with angles of 90.00, 90.00 and 90.00 degrees. The distinct sites, in fractional coordinates, are Gd at (0.000, 0.000, 0.000), Er at (0.000, 0.000, 0.500), Zn at (0.250, 0.250, 0.250) and Pt at (0.250, 0.250, 0.750).

***

Entry 4:
DFT (GGA-PBE) results for a relaxed structure of PuTaTiNb.

The value obtained for the formation energy is 0.19 eV/atom.

The space group is F-43m (No. 216) and the conventional cell measures 6.720, 6.720 and 6.720 Å, with angles of 90.00, 90.00 and 90.00 degrees. The distinct sites, in fractional coordinates, are Pu at (0.000, 0.000, 0.000), Ta at (0.250, 0.250, 0.750), Ti at (0.250, 0.250, 0.250) and Nb at (0.000, 0.000, 0.500).

***

Entry 5:
DFT (GGA-PBE) results for a relaxed structure of Tb3CeEr4.

The value obtained for the formation energy is 0.04 eV/atom.

The space group is Pmn2_1 (No. 31) and the conventional cell measures 11.267, 7.189 and 6.220 Å, with angles of 90.00, 90.00 and 90.00 degrees. The distinct sites, in fractional coordinates, are Tb at (0.000, 0.124, 0.000), Tb at (0.250, 0.126, 0.331), Ce at (0.000, 0.876, 0.498), Er at (0.000, 0.377, 0.498), Er at (0.000, 0.625, 0.999) and Er at (0.250, 0.375, 0.835).

***

Entry 6:
DFT (GGA-PBE) results for a relaxed structure of YC3.

The value obtained for the formation energy is 1.02 eV/atom.

The space group is Immm (No. 71) and the conventional cell measures 3.551, 5.017 and 5.198 Å, with angles of 90.00, 90.00 and 90.00 degrees. The distinct sites, in fractional coordinates, are Y at (0.000, 0.000, 0.000), C at (0.000, 0.137, 0.500) and C at (0.000, 0.500, 0.000).

***

> Number 6 is which compound?

YC3

***

Copy entry 2 word for word.
DFT (GGA-PBE) results for a relaxed structure of Sc2SbAs.

Its uncorrected formation energy is -0.304 eV per atom.

The space group is R-3m (No. 166, hexagonal axes) and the conventional cell measures 4.2648, 4.2648 and 24.2253 Å, with angles of 90.00, 90.00 and 120.00 degrees. The distinct sites, in fractional coordinates, are Sc at (0.0000, 0.0000, 0.1032), Sb at (0.0000, 0.0000, 0.5000) and As at (0.0000, 0.0000, 0.0000).

***

> Which formula does entry 3 have?

GdErZnPt